Record 1
{
  "formula": "Y2MoPt",
  "functional": "PBE",
  "state": "relaxed",
  "cell": [[-1.760, 2.375, 5.175], [1.760, -2.375, 5.175], [1.760, 2.375, -5.175]],
  "species": ["Y", "Y", "Mo", "Pt"],
  "frac_coords": [[0.000, 0.000, 0.000], [0.726, 0.226, 0.500], [0.260, 0.760, 0.500], [0.469, 0.469, 0.000]],
  "mass_density_g_cm3": 8.996,
  "formation_enthalpy_0k_mev_per_atom": -219.6,
  "m_tot_mub_per_fu": 0.00,
  "e_above_lowest_polymorph_mev_per_atom": 96,
  "energy_ev_per_atom": -7.670,
  "vol_a3_per_atom": 21.634
}

***

Record 2
{
  "formula": "AuCl3",
  "functional": "PBE",
  "state": "relaxed",
  "cell": [[5.103, 0.000, 0.000], [0.000, 5.103, 0.000], [0.000, 0.000, 3.137]],
  "species": ["Au", "Cl", "Cl", "Cl"],
  "frac_coords": [[0.000, 0.000, 0.000], [0.000, 0.500, 0.500], [0.500, 0.000, 0.500], [0.500, 0.500, 0.000]],
  "mass_density_g_cm3": 6.165,
  "m_tot_mub_per_fu": 0.00,
  "energy_ev_per_atom": -1.593,
  "vol_a3_per_atom": 20.426,
  "raw_formation_energy_mev_per_atom": 611
}

***

Record 3
{
  "formula": "Er2AlSe",
  "functional": "PBE",
  "state": "relaxed",
  "cell": [[1.873, 1.081, 8.079], [-1.873, 1.081, 8.079], [0.000, -2.163, 8.079]],
  "species": ["Er", "Er", "Al", "Se"],
  "frac_coords": [[0.000, 0.000, 0.000], [0.160, 0.160, 0.160], [0.579, 0.579, 0.579], [0.747, 0.747, 0.747]],
  "mass_density_g_cm3": 7.450,
  "m_tot_mub_per_fu": 0.00,
  "e_above_lowest_polymorph_mev_per_atom": 168,
  "energy_ev_per_atom": -5.015,
  "vol_a3_per_atom": 24.545,
  "raw_formation_energy_mev_per_atom": -926
}

***

Record 4
{
  "formula": "Ag3PdCl",
  "functional": "PBE",
  "state": "relaxed",
  "cell": [[5.123, 0.000, 0.000], [0.000, 5.123, 0.000], [0.000, 0.000, 5.123]],
  "species": ["Ag", "Ag", "Ag", "Pd", "Cl"],
  "frac_coords": [[0.000, 0.000, 0.500], [0.000, 0.500, 0.000], [0.500, 0.000, 0.000], [0.000, 0.000, 0.000], [0.500, 0.500, 0.500]],
  "mass_density_g_cm3": 5.749,
  "m_tot_mub_per_fu": 0.00,
  "e_above_lowest_polymorph_mev_per_atom": 0,
  "energy_ev_per_atom": -2.559,
  "vol_a3_per_atom": 26.888,
  "raw_formation_energy_mev_per_atom": 560
}

***

Record 5
{
  "formula": "Y2HfW2",
  "functional": "PBE",
  "state": "relaxed",
  "cell": [[7.063, 0.000, 0.000], [0.000, 7.063, 0.000], [0.000, 0.000, 4.755]],
  "species": ["Y", "Y", "Y", "Y", "Hf", "Hf", "W", "W", "W", "W"],
  "frac_coords": [[0.173, 0.327, 0.000], [0.327, 0.827, 0.000], [0.673, 0.173, 0.000], [0.827, 0.673, 0.000], [0.000, 0.000, 0.500], [0.500, 0.500, 0.500], [0.124, 0.624, 0.500], [0.376, 0.124, 0.500], [0.624, 0.876, 0.500], [0.876, 0.376, 0.500]],
  "mass_density_g_cm3": 10.137,
  "formation_enthalpy_0k_mev_per_atom": 475.6,
  "m_tot_mub_per_fu": 0.00,
  "e_above_lowest_polymorph_mev_per_atom": 0,
  "energy_ev_per_atom": -9.282,
  "vol_a3_per_atom": 23.720
}

***

Record 6
{
  "formula": "Er3PdO6",
  "functional": "PBE",
  "state": "relaxed",
  "cell": [[4.742, 2.738, 3.629], [-4.742, 2.738, 3.629], [0.000, -5.475, 3.629]],
  "species": ["Er", "Er", "Er", "Er", "Er", "Er", "Pd", "Pd", "O", "O", "O", "O", "O", "O", "O", "O", "O", "O", "O", "O"],
  "frac_coords": [[0.063, 0.751, 0.572], [0.249, 0.428, 0.937], [0.428, 0.937, 0.249], [0.572, 0.063, 0.751], [0.751, 0.572, 0.063], [0.937, 0.249, 0.428], [0.000, 0.000, 0.000], [0.500, 0.500, 0.500], [0.033, 0.700, 0.910], [0.090, 0.967, 0.300], [0.174, 0.432, 0.606], [0.300, 0.090, 0.967], [0.394, 0.826, 0.568], [0.432, 0.606, 0.174], [0.568, 0.394, 0.826], [0.606, 0.174, 0.432], [0.700, 0.910, 0.033], [0.826, 0.568, 0.394], [0.910, 0.033, 0.700], [0.967, 0.300, 0.090]],
  "mass_density_g_cm3": 8.274,
  "m_tot_mub_per_fu": 1.00,
  "e_above_lowest_polymorph_mev_per_atom": 0,
  "energy_ev_per_atom": -7.633,
  "vol_a3_per_atom": 14.132,
  "raw_formation_energy_mev_per_atom": -2770
}

***

Record 7
{
  "formula": "SrZnFeGe2",
  "functional": "PBE",
  "state": "relaxed",
  "cell": [[4.630, 0.000, 0.000], [0.000, 4.630, 0.000], [0.000, 0.000, 4.765]],
  "species": ["Sr", "Zn", "Fe", "Ge", "Ge"],
  "frac_coords": [[0.000, 0.000, 0.000], [0.500, 0.500, 0.000], [0.500, 0.500, 0.500], [0.000, 0.500, 0.500], [0.500, 0.000, 0.500]],
  "mass_density_g_cm3": 5.758,
  "formation_enthalpy_0k_mev_per_atom": -200.8,
  "m_tot_mub_per_fu": 1.41,
  "energy_ev_per_atom": -4.331,
  "vol_a3_per_atom": 20.426
}

***

Record 8
{
  "formula": "Pu3Tl2Cl10",
  "functional": "PBE",
  "state": "relaxed",
  "cell": [[12.752, -4.089, 0.000], [12.752, 4.089, 0.000], [-3.831, 0.000, 9.939]],
  "species": ["Pu", "Pu", "Pu", "Pu", "Pu", "Pu", "Tl", "Tl", "Tl", "Tl", "Cl", "Cl", "Cl", "Cl", "Cl", "Cl", "Cl", "Cl", "Cl", "Cl", "Cl", "Cl", "Cl", "Cl", "Cl", "Cl", "Cl", "Cl", "Cl", "Cl"],
  "frac_coords": [[0.244, 0.756, 0.000], [0.318, 0.318, 0.975], [0.423, 0.423, 0.526], [0.577, 0.577, 0.474], [0.682, 0.682, 0.025], [0.756, 0.244, 0.000], [0.135, 0.135, 0.667], [0.240, 0.240, 0.398], [0.760, 0.760, 0.602], [0.865, 0.865, 0.333], [0.000, 0.500, 0.000], [0.013, 0.013, 0.183], [0.108, 0.592, 0.533], [0.141, 0.634, 0.953], [0.259, 0.259, 0.706], [0.277, 0.723, 0.500], [0.366, 0.859, 0.047], [0.367, 0.367, 0.253], [0.408, 0.892, 0.467], [0.483, 0.483, 0.810], [0.500, 0.000, 0.000], [0.517, 0.517, 0.190], [0.592, 0.108, 0.533], [0.633, 0.633, 0.747], [0.634, 0.141, 0.953], [0.723, 0.277, 0.500], [0.741, 0.741, 0.294], [0.859, 0.366, 0.047], [0.892, 0.408, 0.467], [0.987, 0.987, 0.817]],
  "mass_density_g_cm3": 4.791,
  "m_tot_mub_per_fu": 16.00,
  "energy_ev_per_atom": -6.084,
  "vol_a3_per_atom": 34.554,
  "raw_formation_energy_mev_per_atom": -1671
}

***

Record 9
{
  "formula": "AcTbNdSe3",
  "functional": "PBE",
  "state": "relaxed",
  "cell": [[8.236, 0.000, 0.000], [0.000, 4.211, 0.000], [-2.544, 0.000, 10.368]],
  "species": ["Ac", "Ac", "Tb", "Tb", "Nd", "Nd", "Se", "Se", "Se", "Se", "Se", "Se"],
  "frac_coords": [[0.185, 0.250, 0.208], [0.815, 0.750, 0.792], [0.339, 0.750, 0.905], [0.661, 0.250, 0.095], [0.173, 0.250, 0.623], [0.827, 0.750, 0.377], [0.100, 0.250, 0.893], [0.204, 0.750, 0.434], [0.473, 0.750, 0.185], [0.527, 0.250, 0.815], [0.796, 0.250, 0.566], [0.900, 0.750, 0.107]],
  "mass_density_g_cm3": 7.085,
  "m_tot_mub_per_fu": 0.69,
  "energy_ev_per_atom": -5.669,
  "vol_a3_per_atom": 29.963,
  "raw_formation_energy_mev_per_atom": -1676
}

***

Record 10
{
  "formula": "LiTbNdS3",
  "functional": "PBE",
  "state": "relaxed",
  "cell": [[8.165, 0.000, 0.000], [0.000, 3.872, 0.000], [-1.819, 0.000, 8.266]],
  "species": ["Li", "Li", "Tb", "Tb", "Nd", "Nd", "S", "S", "S", "S", "S", "S"],
  "frac_coords": [[0.087, 0.250, 0.085], [0.913, 0.750, 0.915], [0.337, 0.750, 0.334], [0.663, 0.250, 0.666], [0.186, 0.250, 0.722], [0.814, 0.750, 0.278], [0.098, 0.250, 0.367], [0.212, 0.750, 0.998], [0.428, 0.750, 0.671], [0.572, 0.250, 0.329], [0.788, 0.250, 0.002], [0.902, 0.750, 0.633]],
  "mass_density_g_cm3": 5.164,
  "m_tot_mub_per_fu": 0.00,
  "energy_ev_per_atom": -5.779,
  "vol_a3_per_atom": 21.777,
  "raw_formation_energy_mev_per_atom": -1830
}

***

Record 11
{
  "formula": "RbLaMoN3",
  "functional": "PBE",
  "state": "relaxed",
  "cell": [[7.086, -1.983, 0.000], [7.086, 1.983, 0.000], [-2.189, 0.000, 8.093]],
  "species": ["Rb", "Rb", "La", "La", "Mo", "Mo", "N", "N", "N", "N", "N", "N"],
  "frac_coords": [[0.140, 0.140, 0.067], [0.860, 0.860, 0.933], [0.163, 0.163, 0.597], [0.837, 0.837, 0.403], [0.490, 0.490, 0.668], [0.510, 0.510, 0.332], [0.013, 0.013, 0.353], [0.346, 0.346, 0.635], [0.374, 0.374, 0.219], [0.626, 0.626, 0.781], [0.654, 0.654, 0.365], [0.987, 0.987, 0.647]],
  "mass_density_g_cm3": 5.291,
  "m_tot_mub_per_fu": 0.00,
  "energy_ev_per_atom": -7.454,
  "vol_a3_per_atom": 18.952,
  "raw_formation_energy_mev_per_atom": -503
}

***

Record 12
{
  "formula": "Pr5YSe8",
  "functional": "PBE",
  "state": "relaxed",
  "cell": [[-4.465, 4.465, 4.520], [4.465, -4.465, 4.520], [4.465, 4.465, -4.520]],
  "species": ["Pr", "Pr", "Pr", "Pr", "Pr", "Y", "Se", "Se", "Se", "Se", "Se", "Se", "Se", "Se"],
  "frac_coords": [[0.000, 0.000, 0.000], [0.258, 0.126, 0.631], [0.373, 0.742, 0.868], [0.495, 0.627, 0.369], [0.874, 0.505, 0.132], [0.750, 0.250, 0.500], [0.115, 0.370, 0.889], [0.125, 0.374, 0.401], [0.275, 0.875, 0.249], [0.481, 0.226, 0.111], [0.626, 0.027, 0.751], [0.630, 0.519, 0.745], [0.774, 0.885, 0.255], [0.973, 0.725, 0.599]],
  "mass_density_g_cm3": 6.564,
  "m_tot_mub_per_fu": 0.00,
  "energy_ev_per_atom": -6.008,
  "vol_a3_per_atom": 25.752,
  "raw_formation_energy_mev_per_atom": -1848
}

***

Record 13
{
  "formula": "BaNa3",
  "functional": "PBE",
  "state": "relaxed",
  "cell": [[4.172, 0.000, 0.000], [0.000, 6.417, 0.000], [0.000, 0.000, 6.778]],
  "species": ["Ba", "Na", "Na", "Na"],
  "frac_coords": [[0.000, 0.000, 0.000], [0.000, 0.500, 0.616], [0.500, 0.000, 0.497], [0.500, 0.500, 0.153]],
  "mass_density_g_cm3": 1.888,
  "formation_enthalpy_0k_mev_per_atom": 58.5,
  "m_tot_mub_per_fu": 0.00,
  "energy_ev_per_atom": -1.411,
  "vol_a3_per_atom": 45.366
}

***

Record 14
{
  "formula": "NdTlCd",
  "functional": "PBE",
  "state": "relaxed",
  "cell": [[-1.813, 1.813, 6.301], [1.813, -1.813, 6.301], [1.813, 1.813, -6.301]],
  "species": ["Nd", "Tl", "Cd"],
  "frac_coords": [[0.000, 0.000, 0.000], [0.322, 0.322, 0.000], [0.670, 0.670, 0.000]],
  "mass_density_g_cm3": 9.243,
  "formation_enthalpy_0k_mev_per_atom": -222.0,
  "m_tot_mub_per_fu": 0.00,
  "energy_ev_per_atom": -2.905,
  "vol_a3_per_atom": 27.610
}

***

Record 15
{
  "formula": "Pr3DyZn3",
  "functional": "PBE",
  "state": "relaxed",
  "cell": [[5.081, -5.257, 0.000], [5.081, 5.257, 0.000], [0.000, 0.000, 7.228]],
  "species": ["Pr", "Pr", "Pr", "Pr", "Pr", "Pr", "Dy", "Dy", "Zn", "Zn", "Zn", "Zn", "Zn", "Zn"],
  "frac_coords": [[0.243, 0.757, 0.000], [0.258, 0.258, 0.000], [0.259, 0.259, 0.500], [0.741, 0.741, 0.500], [0.742, 0.742, 0.000], [0.757, 0.243, 0.000], [0.241, 0.759, 0.500], [0.759, 0.241, 0.500], [0.000, 0.000, 0.258], [0.000, 0.000, 0.742], [0.000, 0.500, 0.259], [0.000, 0.500, 0.741], [0.500, 0.000, 0.259], [0.500, 0.000, 0.741]],
  "mass_density_g_cm3": 6.720,
  "formation_enthalpy_0k_mev_per_atom": -186.7,
  "m_tot_mub_per_fu": 0.00,
  "energy_ev_per_atom": -3.438,
  "vol_a3_per_atom": 27.584
}

***

Record 16
{
  "formula": "Rb2Tl5Sb4",
  "functional": "PBE",
  "state": "relaxed",
  "cell": [[6.484, 0.000, 0.000], [-0.274, 7.166, 0.000], [-0.738, -2.844, 9.131]],
  "species": ["Rb", "Rb", "Tl", "Tl", "Tl", "Tl", "Tl", "Sb", "Sb", "Sb", "Sb"],
  "frac_coords": [[0.200, 0.313, 0.314], [0.800, 0.687, 0.686], [0.016, 0.245, 0.916], [0.419, 0.134, 0.682], [0.500, 0.500, 0.000], [0.581, 0.866, 0.318], [0.984, 0.755, 0.084], [0.123, 0.847, 0.419], [0.337, 0.885, 0.904], [0.663, 0.115, 0.096], [0.877, 0.153, 0.581]],
  "mass_density_g_cm3": 6.574,
  "m_tot_mub_per_fu": 0.00,
  "e_above_lowest_polymorph_mev_per_atom": 0,
  "energy_ev_per_atom": -2.889,
  "vol_a3_per_atom": 38.574,
  "raw_formation_energy_mev_per_atom": -138
}

***

Record 17
{
  "formula": "SrZr2Fe",
  "functional": "PBE",
  "state": "relaxed",
  "cell": [[-1.631, 2.086, 7.783], [1.631, -2.086, 7.783], [1.631, 2.086, -7.783]],
  "species": ["Sr", "Zr", "Zr", "Fe"],
  "frac_coords": [[0.000, 0.000, 0.000], [0.317, 0.817, 0.500], [0.677, 0.677, 0.000], [0.800, 0.300, 0.500]],
  "mass_density_g_cm3": 5.110,
  "formation_enthalpy_0k_mev_per_atom": 378.3,
  "m_tot_mub_per_fu": 0.00,
  "e_above_lowest_polymorph_mev_per_atom": 161,
  "energy_ev_per_atom": -6.432,
  "vol_a3_per_atom": 26.479
}

***

Record 18
{
  "formula": "NaSr2InO4",
  "functional": "PBE",
  "state": "relaxed",
  "cell": [[5.888, 0.000, 0.000], [0.000, 3.572, 0.000], [-1.896, 0.000, 5.747]],
  "species": ["Na", "Sr", "Sr", "In", "O", "O", "O", "O"],
  "frac_coords": [[0.000, 0.000, 0.000], [0.500, 0.000, 0.500], [0.500, 0.500, 0.000], [0.000, 0.500, 0.500], [0.231, 0.500, 0.276], [0.232, 0.000, 0.739], [0.768, 0.000, 0.261], [0.769, 0.500, 0.724]],
  "mass_density_g_cm3": 5.180,
  "m_tot_mub_per_fu": 0.00,
  "energy_ev_per_atom": -5.482,
  "vol_a3_per_atom": 15.108,
  "raw_formation_energy_mev_per_atom": -2076
}

***

Record 19
{
  "formula": "La6Mg2TcN",
  "functional": "PBE",
  "state": "relaxed",
  "cell": [[7.470, 0.000, 0.000], [-3.563, 6.581, 0.000], [-3.665, -2.253, 6.266]],
  "species": ["La", "La", "La", "La", "La", "La", "Mg", "Mg", "Tc", "N"],
  "frac_coords": [[0.000, 0.000, 0.000], [0.002, 0.459, 0.427], [0.059, 0.969, 0.508], [0.488, 0.942, 0.429], [0.519, 0.524, 0.999], [0.961, 0.494, 0.937], [0.502, 0.991, 0.971], [0.516, 0.470, 0.467], [0.949, 0.254, 0.684], [0.986, 0.732, 0.199]],
  "mass_density_g_cm3": 5.358,
  "m_tot_mub_per_fu": 0.00,
  "energy_ev_per_atom": -5.372,
  "vol_a3_per_atom": 30.805,
  "raw_formation_energy_mev_per_atom": -227
}

***

Record 20
{
  "formula": "EuMgPb2",
  "functional": "PBE",
  "state": "relaxed",
  "cell": [[0.000, 3.876, 3.876], [3.876, 0.000, 3.876], [3.876, 3.876, 0.000]],
  "species": ["Eu", "Mg", "Pb", "Pb"],
  "frac_coords": [[0.000, 0.000, 0.000], [0.500, 0.500, 0.500], [0.250, 0.250, 0.250], [0.750, 0.750, 0.750]],
  "mass_density_g_cm3": 8.420,
  "formation_enthalpy_0k_mev_per_atom": -304.0,
  "m_tot_mub_per_fu": 6.95,
  "e_above_lowest_polymorph_mev_per_atom": 66,
  "energy_ev_per_atom": -5.125,
  "vol_a3_per_atom": 29.121
}